(P)
Compound: RhC3
Source: Alexandria via LeMat-Bulk
Functional: PBE
Structure: optimized geometry

a = 8.936 Å, b = 8.936 Å, c = 8.936 Å
α = 161.11°, β = 161.11°, γ = 26.84°
Fractional coordinates of all 8 atoms:
Rh (0.671, 0.671, 0.000)
Rh (0.329, 0.329, 0.000)
C (0.000, 0.500, 0.500)
C (0.500, 0.000, 0.500)
C (0.750, 0.250, 0.500)
C (0.250, 0.750, 0.500)
C (0.937, 0.937, 0.000)
C (0.063, 0.063, 0.000)

Magnetic moment ... 0.0 Bohr magnetons per cell


(Q)
Compound: RhC3
Source: Alexandria via LeMat-Bulk
Functional: PBE
Structure: optimized geometry

a = 7.093 Å, b = 7.093 Å, c = 2.641 Å
α = 90.00°, β = 90.00°, γ = 142.28°
Fractional coordinates of all 8 atoms:
Rh (0.614, 0.386, 0.250)
Rh (0.386, 0.614, 0.750)
C (0.185, 0.815, 0.250)
C (0.815, 0.185, 0.750)
C (0.039, 0.256, 0.250)
C (0.961, 0.744, 0.750)
C (0.256, 0.039, 0.750)
C (0.744, 0.961, 0.250)

Magnetic moment ... 0.0 Bohr magnetons per cell


Quick ranking, most stable first: (Q), (P).


(P)
Compound: Sr3LiRh
Source: Alexandria via LeMat-Bulk
Functional: PBE
Structure: optimized geometry

a = 6.456 Å, b = 6.456 Å, c = 6.456 Å
α = 90.28°, β = 90.28°, γ = 90.28°
Fractional coordinates of all 5 atoms:
Sr (0.623, 0.121, 0.623)
Sr (0.121, 0.623, 0.623)
Sr (0.623, 0.623, 0.121)
Rh (0.867, 0.867, 0.867)
Li (0.642, 0.642, 0.642)

Magnetic moment ... 0.0 Bohr magnetons per cell


(Q)
Compound: Sr3LiRh
Source: Alexandria via LeMat-Bulk
Functional: PBE
Structure: optimized geometry

a = 8.281 Å, b = 8.281 Å, c = 8.281 Å
α = 60.18°, β = 60.18°, γ = 60.18°
Fractional coordinates of all 10 atoms:
Sr (0.079, 0.014, 0.546)
Sr (0.514, 0.579, 0.046)
Sr (0.046, 0.514, 0.579)
Sr (0.579, 0.046, 0.514)
Sr (0.014, 0.546, 0.079)
Sr (0.546, 0.079, 0.014)
Rh (0.297, 0.297, 0.297)
Rh (0.797, 0.797, 0.797)
Li (0.046, 0.046, 0.046)
Li (0.546, 0.546, 0.546)

Magnetic moment ... 0.0 Bohr magnetons per cell


Quick ranking, most stable first: (Q), (P).


(P)
Compound: Hf3HgC
Source: Alexandria via LeMat-Bulk
Functional: PBE
Structure: optimized geometry

a = 4.280 Å, b = 4.280 Å, c = 7.228 Å
α = 90.00°, β = 90.00°, γ = 90.00°
Fractional coordinates of all 5 atoms:
C (0.500, 0.500, 0.514)
Hf (0.000, 0.000, 0.735)
Hf (0.500, 0.000, 0.442)
Hf (0.000, 0.500, 0.442)
Hg (0.000, 0.000, 0.131)

Magnetic moment ... 0.0 Bohr magnetons per cell


(Q)
Compound: Hf3HgC
Source: Alexandria via LeMat-Bulk
Functional: PBE
Structure: optimized geometry

a = 4.876 Å, b = 4.876 Å, c = 11.486 Å
α = 77.74°, β = 77.74°, γ = 90.00°
Fractional coordinates of all 10 atoms:
C (0.650, 0.150, 0.700)
C (0.850, 0.350, 0.300)
Hf (0.630, 0.872, 0.257)
Hf (0.128, 0.370, 0.743)
Hf (0.128, 0.887, 0.743)
Hf (0.113, 0.872, 0.257)
Hf (0.312, 0.312, 0.376)
Hf (0.688, 0.688, 0.624)
Hg (0.000, 0.000, 0.000)
Hg (0.250, 0.750, 0.500)

Magnetic moment ... 0.0 Bohr magnetons per cell


Quick ranking, most stable first: (P), (Q).


(P)
Compound: BeAsPt
Source: Alexandria via LeMat-Bulk
Functional: PBE
Structure: optimized geometry

a = 3.969 Å, b = 3.969 Å, c = 3.969 Å
α = 60.00°, β = 60.00°, γ = 60.00°
Fractional coordinates of all 3 atoms:
Be (0.750, 0.750, 0.750)
As (0.500, 0.500, 0.500)
Pt (0.000, 0.000, 0.000)

Magnetic moment ... 0.0 Bohr magnetons per cell


(Q)
Compound: BeAsPt
Source: Alexandria via LeMat-Bulk
Functional: PBE
Structure: optimized geometry

a = 3.876 Å, b = 3.876 Å, c = 3.511 Å
α = 90.00°, β = 90.00°, γ = 120.00°
Fractional coordinates of all 3 atoms:
Be (0.333, 0.667, 0.500)
As (0.000, 0.000, 0.000)
Pt (0.667, 0.333, 0.500)

Magnetic moment ... 0.0 Bohr magnetons per cell


Quick ranking, most stable first: (P), (Q).